Density functional theory data (PBE) for a geometry-optimized NiHg2AsPb structure.

## Properties
ΔH_f (0 K)	14.97	kJ/mol of atoms
crystal system	tetragonal

Lattice parameters (Å, degrees): 5.114 5.114 4.559 90.00 90.00 90.00
Positions (direct):
1 Ni 0.000 0.000 0.000
2 Hg 0.000 0.500 0.000
3 Hg 0.500 0.000 0.000
4 As 0.000 0.000 0.500
5 Pb 0.500 0.500 0.500



Density functional theory data (PBE) for a geometry-optimized HBr3Cl structure.

## Properties
distance to the lowest polymorph of the same formula	0	meV/atom
crystal system	orthorhombic

Lattice parameters (Å, degrees): 7.979 10.120 5.177 90.00 90.00 90.00
Positions (direct):
1 H 0.000 0.004 0.000
2 H 0.500 0.996 0.500
3 Br 0.000 0.334 0.535
4 Br 0.247 0.713 0.757
5 Br 0.253 0.287 0.257
6 Br 0.500 0.666 0.035
7 Br 0.747 0.287 0.257
8 Br 0.753 0.713 0.757
9 Cl 0.000 0.758 0.491
10 Cl 0.500 0.242 0.991



Density functional theory data (PBE) for a geometry-optimized Ac3Pr3Dy2 structure.

## Properties
ΔH_f (0 K)	10.66	kJ/mol of atoms
crystal system	orthorhombic

Lattice parameters (Å, degrees): 6.211 6.224 7.858 90.00 90.00 90.00
Positions (direct):
1 Ac 0.000 0.000 0.000
2 Ac 0.000 0.000 0.500
3 Ac 0.500 0.500 0.000
4 Pr 0.500 0.000 0.259
5 Pr 0.500 0.000 0.741
6 Pr 0.500 0.500 0.500
7 Dy 0.000 0.500 0.258
8 Dy 0.000 0.500 0.742



Density functional theory data (PBE) for a geometry-optimized Nd5Ho2In4 structure.

## Properties
distance to the lowest polymorph of the same formula	202	meV/atom
ΔH_f (0 K)	-8.45	kJ/mol of atoms
crystal system	monoclinic

Lattice parameters (Å, degrees): 11.812 11.812 8.513 105.77 105.77 17.67
Positions (direct):
1 Nd 0.000 0.000 0.000
2 Nd 0.327 0.327 0.558
3 Nd 0.377 0.377 0.032
4 Nd 0.623 0.623 0.968
5 Nd 0.673 0.673 0.442
6 Ho 0.228 0.228 0.815
7 Ho 0.772 0.772 0.185
8 In 0.087 0.087 0.627
9 In 0.478 0.478 0.669
10 In 0.522 0.522 0.331
11 In 0.913 0.913 0.373